[1]
The following is a DFT calculation (PBE-GGA) of Ac2TbPmAs4 after structural relaxation.

Structure (POSCAR):
```
Ac2TbPmAs4
1.0
4.371 0.000 0.000
0.000 7.576 -0.155
0.000 2.661 7.082
Ac Tb Pm As
2 1 1 4
Direct
0.000 0.000 0.000
0.500 0.000 0.500
0.000 0.500 0.500
0.500 0.500 0.000
0.000 0.732 0.753
0.000 0.268 0.247
0.500 0.730 0.259
0.500 0.270 0.741
```

Properties
E_form in eV/atom: -1.479
Total energy in eV/atom: -6.00

***

[2]
The following is a DFT calculation (PBE-GGA) of AcTbPm2As4 after structural relaxation.

Structure (POSCAR):
```
AcTbPm2As4
1.0
-1.555 1.242 3.811
-6.010 -4.262 -1.063
1.280 -6.800 2.739
Ac Tb Pm As
1 1 2 4
Direct
0.500 0.500 0.000
0.000 0.500 0.500
0.000 0.000 0.000
0.500 0.000 0.500
0.000 0.759 0.737
0.000 0.241 0.263
0.500 0.751 0.259
0.500 0.249 0.741
```

Properties
E_form in eV/atom: -1.482
Total energy in eV/atom: -6.09

***

[3]
The following is a DFT calculation (PBE-GGA) of Ac2PmTe2As2 after structural relaxation.

Structure (POSCAR):
```
Ac2PmTe2As2
1.0
5.402 0.000 0.000
0.000 5.402 0.000
-2.701 -2.701 8.459
Ac Pm Te As
2 1 2 2
Direct
0.378 0.378 0.756
0.622 0.622 0.244
0.000 0.000 0.000
0.184 0.184 0.368
0.816 0.816 0.632
0.000 0.500 0.000
0.500 0.000 0.000
```

Properties
Total energy in eV/atom: -5.25
E_form (uncorrected) in eV/f.u.: -8.18

***

[4]
The following is a DFT calculation (PBE-GGA) of Ac3PmTh2As6 after structural relaxation.

Structure (POSCAR):
```
Ac3PmTh2As6
1.0
-6.268 -0.961 -4.162
3.699 -6.029 2.738
-3.158 2.583 6.459
Ac Pm Th As
3 1 2 6
Direct
0.166 0.834 0.500
0.834 0.166 0.500
0.500 0.500 0.500
0.000 0.000 0.000
0.333 0.667 0.000
0.667 0.333 0.000
0.923 0.588 0.769
0.742 0.742 0.231
0.077 0.412 0.231
0.588 0.923 0.769
0.258 0.258 0.769
0.412 0.077 0.231
```

Properties
E_form in eV/atom: -1.471
Total energy in eV/atom: -6.46